# Ca2Zn3CdAg12 PBE optimized geometry
# **Formation energy**: 0.01 eV per atom
# **ρ**: 7.6 g/cm3
# **Raw total energy**: -128.221 eV/cell
# **Fermi-level density of states**: 18.710 states/eV/cell
data_Ca2Zn3CdAg12
_chemical_formula_sum 'Ca6 Zn9 Cd3 Ag36'
_symmetry_space_group_name_H-M 'R -3 m'
_symmetry_Int_Tables_number 166
_symmetry_space_group_name_Hall '-R 3 2"'
_cell_length_a 9.6246
_cell_length_b 9.6246
_cell_length_c 13.7011
_cell_angle_alpha 90.00
_cell_angle_beta 90.00
_cell_angle_gamma 120.00
loop_
_atom_site_label
_atom_site_type_symbol
_atom_site_fract_x
_atom_site_fract_y
_atom_site_fract_z
Ca1 Ca 0.0000 0.0000 0.2183
Zn1 Zn 0.0000 0.5000 0.0000
Cd1 Cd 0.0000 0.0000 0.5000
Ag1 Ag 0.0006 0.5003 0.1943
Ag2 Ag 0.0274 0.5137 0.6036